a:
Crystalline Si2WAu at its relaxed geometry, computed with PBE-GGA.

Unit cell a=6.0423 b=6.0423 c=9.2988 alpha=90.00 beta=90.00 gamma=90.00
Last column: nearest neighbours and their distance in Å.
Space group I-42d (No. 122)
Unique sites:
Si  0.2463  0.2500  0.1250 x8  2 W 2.42, 2 Au 2.45
W  0.0000  0.0000  0.0000 x4  4 Si 2.42
Au  0.0000  0.0000  0.5000 x4  4 Si 2.45

M_tot ... 0.00 μB per formula unit



b:
Crystalline Si2WAu at its relaxed geometry, computed with PBE-GGA.

Unit cell a=4.2715 b=4.2715 c=3.2642 alpha=90.00 beta=90.00 gamma=90.00
Last column: nearest neighbours and their distance in Å.
Space group P4/mmm (No. 123)
Unique sites:
Si  0.0000  0.5000  0.0000 x2  4 W 2.69, 4 Au 2.69
W  0.0000  0.0000  0.5000 x1  8 Si 2.69
Au  0.5000  0.5000  0.5000 x1  8 Si 2.69

M_tot ... 0.00 μB per formula unit



c:
Crystalline Si2WAu at its relaxed geometry, computed with PBE-GGA.

Unit cell a=3.5354 b=4.4951 c=7.9943 alpha=90.00 beta=90.00 gamma=90.00
Last column: nearest neighbours and their distance in Å.
Space group Cmmm (No. 65)
Unique sites:
Si  0.0000  0.0000  0.2294 x4  2 W 2.55, 2 Au 2.79
W  0.0000  0.5000  0.0000 x2  4 Si 2.55
Au  0.0000  0.5000  0.5000 x2  8 Si 2.79-3.12, 4 Au 2.86

M_tot ... 0.00 μB per formula unit



Stability verdict: b, ahead by 0.122 eV/atom



a:
Crystalline Si2WAu at its relaxed geometry, computed with PBE-GGA.

Unit cell a=3.2264 b=3.2264 c=5.8572 alpha=90.00 beta=90.00 gamma=90.00
Last column: nearest neighbours and their distance in Å.
Space group P4/mmm (No. 123)
Unique sites:
Si  0.0000  0.0000  0.2223 x2  1 Si 2.60, 4 W 2.63, 4 Au 2.80
W  0.5000  0.5000  0.0000 x1  8 Si 2.63, 2 Au 2.93
Au  0.5000  0.5000  0.5000 x1  8 Si 2.80, 2 W 2.93

M_tot ... 0.00 μB per formula unit



b:
Crystalline Si2WAu at its relaxed geometry, computed with PBE-GGA.

Unit cell a=2.9502 b=2.9502 c=24.9223 alpha=90.00 beta=90.00 gamma=120.00
Last column: nearest neighbours and their distance in Å.
Space group R-3m (No. 166, hexagonal axes)
Unique sites:
Si  0.0000  0.0000  0.2460 x6  3 W 2.61, 3 Au 2.76
W  0.0000  0.0000  0.5000 x3  6 Si 2.61
Au  0.0000  0.0000  0.0000 x3  6 Si 2.76, 6 Au 2.95

M_tot ... 0.00 μB per formula unit



Stability verdict: a, ahead by 0.054 eV/atom



a:
Crystalline SiW3Au at its relaxed geometry, computed with PBE-GGA.

Unit cell a=4.4880 b=4.4880 c=4.4880 alpha=90.00 beta=90.00 gamma=90.00
Last column: nearest neighbours and their distance in Å.
Space group Pm-3m (No. 221)
Unique sites:
Si  0.0000  0.0000  0.0000 x1  6 W 2.24
W  0.0000  0.0000  0.5000 x3  2 Si 2.24
Au  0.5000  0.5000  0.5000 x1  12 W 3.17

M_tot ... 0.00 μB per formula unit



b:
Crystalline SiW3Au at its relaxed geometry, computed with PBE-GGA.

Unit cell a=4.8414 b=4.8414 c=4.8414 alpha=90.00 beta=90.00 gamma=90.00
Last column: nearest neighbours and their distance in Å.
Space group Pm-3m (No. 221)
Unique sites:
Si  0.0000  0.0000  0.0000 x1  12 W 3.42
W  0.0000  0.5000  0.5000 x3  2 Au 2.42
Au  0.5000  0.5000  0.5000 x1  6 W 2.42

M_tot ... 0.00 μB per formula unit



Stability verdict: a, ahead by 1.505 eV/atom